Nb2ReP, relaxed, DFT PBE; space group = I-42d; E_form = 0.863 eV/atom
1.0
-1.7846 5.4622 0.3015
-5.4397 -1.7382 -0.7068
-4.1891 1.3603 5.4713
Nb Re P
4 2 2
direct
0.1342 0.6250 0.2500
0.8750 0.8658 0.7500
0.6158 0.1250 0.2500
0.3750 0.3842 0.7500
0.0000 0.0000 0.0000
0.7500 0.2500 0.5000
0.5000 0.5000 0.0000
0.2500 0.7500 0.5000